First-principles (PBE) data for a relaxed CsAuI2 crystal, as listed in Alexandria.

The structure in POSCAR format:
```
CsAuI2
1.0
0.000 4.233 4.233
4.233 0.000 4.233
4.233 4.233 0.000
Cs Au I
1 1 2
direct
0.000 0.000 0.000
0.500 0.500 0.500
0.250 0.250 0.250
0.750 0.750 0.750
```

V: 37.927 Å³ per atom
N(E_F): 0.71 states/eV/f.u.
Excess energy over the best structure of this formula in the dataset: 12.281 kcal/mol of atoms
Space group: No. 225
Uncorrected formation energy: -0.2990 eV per atom
E: -2.1068 eV/atom

---

First-principles (PBE) data for a relaxed CsAuI3 crystal, as listed in Alexandria.

The structure in POSCAR format:
```
CsAuI3
1.0
5.439 0.000 0.000
0.125 9.653 0.000
0.082 2.467 9.528
Cs Au I
2 2 6
direct
0.000 0.000 0.000
0.003 0.389 0.411
0.283 0.599 0.009
0.694 0.385 0.005
0.077 0.828 0.432
0.474 0.193 0.198
0.509 0.204 0.717
0.517 0.690 0.198
0.795 0.994 0.583
0.985 0.547 0.822
```

V: 50.025 Å³ per atom
N(E_F): 0.00 states/eV/f.u.
Space group: No. 1
Uncorrected formation energy: -0.6660 eV per atom
E: -2.4223 eV/atom

---

First-principles (PBE) data for a relaxed Cs6AuI5 crystal, as listed in Alexandria.

The structure in POSCAR format:
```
Cs6AuI5
1.0
4.775 -8.254 0.000
4.775 8.254 0.000
-3.166 0.000 8.985
Cs Au I
6 1 5
direct
0.082 0.407 0.746
0.244 0.244 0.253
0.407 0.082 0.746
0.593 0.918 0.254
0.756 0.756 0.747
0.918 0.593 0.254
0.000 0.000 0.500
0.169 0.831 0.000
0.334 0.666 0.500
0.500 0.500 0.000
0.666 0.334 0.500
0.831 0.169 0.000
```

V: 59.015 Å³ per atom
N(E_F): 0.00 states/eV/f.u.
Space group: No. 12
Uncorrected formation energy: -1.3447 eV per atom
E: -2.6904 eV/atom

---

First-principles (PBE) data for a relaxed CsAuI3 crystal, as listed in Alexandria.

The structure in POSCAR format:
```
CsAuI3
1.0
5.394 0.000 0.000
-0.001 5.763 0.000
-1.124 -0.006 7.850
Cs Au I
1 1 3
direct
0.000 0.000 0.000
0.866 0.499 0.453
0.221 0.499 0.721
0.551 0.499 0.162
0.849 0.999 0.469
```

V: 48.802 Å³ per atom
N(E_F): 0.66 states/eV/f.u.
Space group: No. 1
Uncorrected formation energy: -0.6664 eV per atom
E: -2.4227 eV/atom

---

First-principles (PBE) data for a relaxed Cs3AuI2 crystal, as listed in Alexandria.

The structure in POSCAR format:
```
Cs3AuI2
1.0
8.635 -3.865 0.000
8.635 3.865 0.000
-3.425 0.000 10.321
Cs Au I
6 2 4
direct
0.001 0.999 0.750
0.341 0.342 0.921
0.342 0.341 0.421
0.658 0.659 0.579
0.659 0.658 0.079
0.999 0.001 0.250
0.499 0.501 0.250
0.501 0.499 0.750
0.169 0.169 0.085
0.169 0.169 0.585
0.831 0.831 0.415
0.831 0.831 0.915
```

V: 57.415 Å³ per atom
N(E_F): 0.00 states/eV/f.u.
Space group: No. 15
Uncorrected formation energy: -1.1372 eV per atom
E: -2.6269 eV/atom

---

First-principles (PBE) data for a relaxed Cs16Au5I3 crystal, as listed in Alexandria.

The structure in POSCAR format:
```
Cs16Au5I3
1.0
9.342 -5.335 0.000
9.342 5.335 0.000
-0.046 0.000 17.660
Cs Au I
16 5 3
direct
0.000 0.000 0.000
0.001 0.001 0.492
0.030 0.511 0.986
0.170 0.675 0.737
0.177 0.177 0.747
0.343 0.831 0.234
0.352 0.352 0.229
0.498 0.498 0.988
0.511 0.030 0.986
0.517 0.517 0.479
0.530 0.990 0.480
0.675 0.170 0.737
0.688 0.688 0.737
0.831 0.343 0.234
0.842 0.842 0.230
0.990 0.530 0.480
0.179 0.672 0.112
0.343 0.343 0.856
0.672 0.179 0.112
0.674 0.674 0.353
0.842 0.842 0.611
0.177 0.177 0.115
0.347 0.845 0.616
0.845 0.347 0.616
```

V: 73.340 Å³ per atom
N(E_F): 14.95 states/eV/f.u.
Space group: No. 8
Uncorrected formation energy: -0.5066 eV per atom
E: -1.9521 eV/atom

---

First-principles (PBE) data for a relaxed Cs3AuI crystal, as listed in Alexandria.

The structure in POSCAR format:
```
Cs3AuI
1.0
6.899 0.000 0.000
0.000 6.899 0.000
0.000 0.000 6.899
Cs Au I
3 1 1
direct
0.000 0.000 0.500
0.000 0.500 0.000
0.500 0.000 0.000
0.000 0.000 0.000
0.500 0.500 0.500
```

V: 65.684 Å³ per atom
N(E_F): 8.29 states/eV/f.u.
Excess energy over the best structure of this formula in the dataset: 2.122 kcal/mol of atoms
Space group: No. 221
Uncorrected formation energy: -0.5936 eV per atom
E: -2.0712 eV/atom

---

First-principles (PBE) data for a relaxed CsAuI3 crystal, as listed in Alexandria.

The structure in POSCAR format:
```
CsAuI3
1.0
8.299 0.000 0.000
3.519 8.025 0.000
3.697 0.692 8.180
Cs Au I
2 2 6
direct
0.000 0.000 0.000
0.431 0.402 0.595
0.698 0.655 0.778
0.704 0.987 0.780
0.123 0.669 0.343
0.306 0.355 0.205
0.456 0.820 0.630
0.473 0.989 0.084
0.931 0.480 0.930
0.941 0.055 0.500
```

V: 54.480 Å³ per atom
N(E_F): 0.00 states/eV/f.u.
Space group: No. 1
Uncorrected formation energy: -0.6551 eV per atom
E: -2.4114 eV/atom

---

First-principles (PBE) data for a relaxed CsAuI2 crystal, as listed in Alexandria.

The structure in POSCAR format:
```
CsAuI2
1.0
3.201 1.848 7.921
-3.201 1.848 7.921
0.000 -3.697 7.921
Cs Au I
1 1 2
direct
0.000 0.000 0.000
0.500 0.500 0.500
0.392 0.392 0.392
0.608 0.608 0.608
```

V: 70.306 Å³ per atom
N(E_F): 0.00 states/eV/f.u.
Excess energy over the best structure of this formula in the dataset: 0.380 kcal/mol of atoms
Space group: No. 166
Uncorrected formation energy: -0.8151 eV per atom
E: -2.6229 eV/atom

---

First-principles (PBE) data for a relaxed CsAu2I8 crystal, as listed in Alexandria.

The structure in POSCAR format:
```
CsAu2I8
1.0
4.427 -8.588 0.000
4.427 8.588 0.000
-0.014 0.000 5.865
Cs Au I
1 2 8
direct
0.000 0.000 0.000
0.256 0.744 0.500
0.744 0.256 0.500
0.095 0.370 0.505
0.245 0.755 0.000
0.370 0.095 0.505
0.411 0.411 0.197
0.589 0.589 0.803
0.630 0.905 0.495
0.755 0.245 0.000
0.905 0.630 0.495
```

V: 40.539 Å³ per atom
N(E_F): 7.33 states/eV/f.u.
Space group: No. 12
Uncorrected formation energy: -0.1710 eV per atom
E: -1.9718 eV/atom

---

First-principles (PBE) data for a relaxed Cs5Au2I12 crystal, as listed in Alexandria.

The structure in POSCAR format:
```
Cs5Au2I12
1.0
10.348 0.000 0.000
-2.451 10.186 0.000
-3.210 -3.760 9.547
Cs Au I
5 2 12
direct
0.000 0.000 0.000
0.237 0.589 0.531
0.265 0.119 0.622
0.735 0.881 0.378
0.763 0.411 0.469
0.405 0.609 0.083
0.595 0.391 0.917
0.013 0.804 0.647
0.103 0.430 0.815
0.154 0.803 0.253
0.393 0.459 0.239
0.406 0.054 0.303
0.464 0.789 0.967
0.536 0.211 0.033
0.594 0.946 0.697
0.607 0.541 0.761
0.846 0.197 0.747
0.897 0.570 0.185
0.987 0.196 0.353
```

V: 52.964 Å³ per atom
N(E_F): 16.21 states/eV/f.u.
Space group: No. 2
Uncorrected formation energy: -0.8005 eV per atom
E: -2.3491 eV/atom

---

First-principles (PBE) data for a relaxed CsAu2I2 crystal, as listed in Alexandria.

The structure in POSCAR format:
```
CsAu2I2
1.0
9.258 0.000 0.000
0.000 9.258 0.000
0.000 0.000 4.731
Cs Au I
2 4 4
direct
0.000 0.000 0.000
0.500 0.500 0.000
0.103 0.397 0.000
0.397 0.897 0.000
0.603 0.103 0.000
0.897 0.603 0.000
0.212 0.288 0.500
0.288 0.788 0.500
0.712 0.212 0.500
0.788 0.712 0.500
```

V: 40.553 Å³ per atom
N(E_F): 3.39 states/eV/f.u.
Excess energy over the best structure of this formula in the dataset: 0.000 kcal/mol of atoms
Space group: No. 127
Uncorrected formation energy: -0.3244 eV per atom
E: -2.4261 eV/atom

---

First-principles (PBE) data for a relaxed Cs8Au4I3 crystal, as listed in Alexandria.

The structure in POSCAR format:
```
Cs8Au4I3
1.0
7.610 -7.626 0.000
7.610 7.626 0.000
-7.598 0.000 7.638
Cs Au I
8 4 3
direct
0.241 0.759 0.000
0.246 0.246 0.482
0.248 0.248 0.007
0.256 0.744 0.500
0.744 0.256 0.500
0.752 0.752 0.993
0.754 0.754 0.518
0.759 0.241 0.000
0.000 0.000 0.000
0.000 0.500 0.000
0.500 0.000 0.000
0.500 0.500 0.500
0.000 0.000 0.500
0.000 0.500 0.500
0.500 0.000 0.500
```

V: 59.097 Å³ per atom
N(E_F): 4.17 states/eV/f.u.
Space group: No. 12
Uncorrected formation energy: -0.7760 eV per atom
E: -2.4152 eV/atom

---

First-principles (PBE) data for a relaxed CsAuI3 crystal, as listed in Alexandria.

The structure in POSCAR format:
```
CsAuI3
1.0
4.611 0.000 0.000
0.000 4.611 0.000
0.000 0.000 10.814
Cs Au I
1 1 3
direct
0.000 0.000 0.000
0.500 0.500 0.311
0.000 0.000 0.328
0.000 0.500 0.721
0.500 0.000 0.721
```

V: 45.986 Å³ per atom
N(E_F): 2.44 states/eV/f.u.
Space group: No. 99
Uncorrected formation energy: -0.1677 eV per atom
E: -1.9240 eV/atom

---

First-principles (PBE) data for a relaxed Cs2Au2I5 crystal, as listed in Alexandria.

The structure in POSCAR format:
```
Cs2Au2I5
1.0
10.671 -2.602 0.000
10.671 2.602 0.000
-4.291 0.000 8.683
Cs Au I
2 2 5
direct
0.083 0.083 0.299
0.917 0.917 0.701
0.364 0.364 0.231
0.636 0.636 0.769
0.291 0.291 0.388
0.417 0.417 0.034
0.500 0.500 0.500
0.583 0.583 0.966
0.709 0.709 0.612
```

V: 53.575 Å³ per atom
N(E_F): 3.58 states/eV/f.u.
Excess energy over the best structure of this formula in the dataset: 0.000 kcal/mol of atoms
Space group: No. 12
Uncorrected formation energy: -0.6981 eV per atom
E: -2.4773 eV/atom

---

First-principles (PBE) data for a relaxed CsAuI3 crystal, as listed in Alexandria.

The structure in POSCAR format:
```
CsAuI3
1.0
5.637 0.000 0.000
2.568 8.439 0.000
1.103 3.379 10.708
Cs Au I
2 2 6
direct
0.000 0.000 0.000
0.030 0.335 0.441
0.218 0.583 0.708
0.354 0.318 0.118
0.013 0.511 0.958
0.374 0.662 0.461
0.456 0.263 0.738
0.572 0.694 0.192
0.663 0.121 0.291
0.969 0.899 0.672
```

V: 50.935 Å³ per atom
N(E_F): 0.00 states/eV/f.u.
Space group: No. 1
Uncorrected formation energy: -0.6620 eV per atom
E: -2.4182 eV/atom

---

First-principles (PBE) data for a relaxed CsAuI3 crystal, as listed in Alexandria.

The structure in POSCAR format:
```
CsAuI3
1.0
10.002 -5.825 0.000
10.002 5.825 0.000
-2.634 0.000 8.344
Cs Au I
4 4 12
direct
0.051 0.583 0.775
0.417 0.949 0.725
0.583 0.051 0.275
0.949 0.417 0.225
0.175 0.825 0.750
0.310 0.690 0.250
0.690 0.310 0.750
0.825 0.175 0.250
0.107 0.780 0.440
0.220 0.893 0.060
0.249 0.282 0.015
0.282 0.249 0.515
0.412 0.448 0.021
0.448 0.412 0.521
0.552 0.588 0.479
0.588 0.552 0.979
0.718 0.751 0.485
0.751 0.718 0.985
0.780 0.107 0.940
0.893 0.220 0.560
```

V: 48.608 Å³ per atom
N(E_F): 0.00 states/eV/f.u.
Space group: No. 15
Uncorrected formation energy: -0.5808 eV per atom
E: -2.3371 eV/atom

---

First-principles (PBE) data for a relaxed Cs2Au2I crystal, as listed in Alexandria.

The structure in POSCAR format:
```
Cs2Au2I
1.0
-3.493 3.493 4.438
3.493 -3.493 4.438
3.493 3.493 -4.438
Cs Au I
2 2 1
direct
0.250 0.750 0.500
0.750 0.250 0.500
0.152 0.152 0.000
0.848 0.848 0.000
0.500 0.500 0.000
```

V: 43.309 Å³ per atom
N(E_F): 0.88 states/eV/f.u.
Excess energy over the best structure of this formula in the dataset: 0.000 kcal/mol of atoms
Space group: No. 139
Uncorrected formation energy: -0.5263 eV per atom
E: -2.4887 eV/atom

---

First-principles (PBE) data for a relaxed CsAu2I2 crystal, as listed in Alexandria.

The structure in POSCAR format:
```
CsAu2I2
1.0
10.124 0.000 0.000
0.000 10.124 0.000
0.000 0.000 5.332
Cs Au I
2 4 4
direct
0.000 0.000 0.000
0.500 0.500 0.000
0.185 0.315 0.500
0.315 0.815 0.500
0.685 0.185 0.500
0.815 0.685 0.500
0.157 0.343 0.000
0.343 0.843 0.000
0.657 0.157 0.000
0.843 0.657 0.000
```

V: 54.644 Å³ per atom
N(E_F): 0.78 states/eV/f.u.
Excess energy over the best structure of this formula in the dataset: 1.024 kcal/mol of atoms
Space group: No. 127
Uncorrected formation energy: -0.2800 eV per atom
E: -2.3817 eV/atom

---

First-principles (PBE) data for a relaxed Cs6AuI4 crystal, as listed in Alexandria.

The structure in POSCAR format:
```
Cs6AuI4
1.0
7.772 4.487 6.255
-7.772 4.487 6.255
0.000 -8.975 6.255
Cs Au I
12 2 8
direct
0.057 0.920 0.692
0.080 0.308 0.943
0.192 0.420 0.557
0.308 0.943 0.080
0.420 0.557 0.192
0.443 0.808 0.580
0.557 0.192 0.420
0.580 0.443 0.808
0.692 0.057 0.920
0.808 0.580 0.443
0.920 0.692 0.057
0.943 0.080 0.308
0.000 0.000 0.000
0.500 0.500 0.500
0.131 0.750 0.369
0.250 0.250 0.250
0.250 0.631 0.869
0.369 0.131 0.750
0.631 0.869 0.250
0.750 0.369 0.131
0.750 0.750 0.750
0.869 0.250 0.631
```

V: 59.503 Å³ per atom
N(E_F): 4.78 states/eV/f.u.
Space group: No. 167
Uncorrected formation energy: -1.1200 eV per atom
E: -2.4472 eV/atom

---

First-principles (PBE) data for a relaxed CsAu2I crystal, as listed in Alexandria.

The structure in POSCAR format:
```
CsAu2I
1.0
0.000 3.983 3.983
3.983 0.000 3.983
3.983 3.983 0.000
Cs Au I
1 2 1
direct
0.000 0.000 0.000
0.250 0.250 0.250
0.750 0.750 0.750
0.500 0.500 0.500
```

V: 31.583 Å³ per atom
N(E_F): 2.68 states/eV/f.u.
Space group: No. 225
Uncorrected formation energy: 0.1921 eV per atom
E: -2.0475 eV/atom